1.
First-principles (GGA-PBE) data for ScFe2Cl after structural relaxation, as listed in Alexandria via LeMat-Bulk.

Values from the calculation:
Its spin magnetization is 1.355 μB/atom. The raw total energy comes out at -24.295 eV for the cell shown. Its energy above the most stable polymorph in this dataset is 1.88 eV/f.u.

Lattice parameters (Å, degrees): 8.379 8.379 8.379 21.15 21.15 21.15
Fractional coordinates of all 4 atoms:
Sc 0.000 0.000 0.000
Fe 0.244 0.244 0.244
Fe 0.756 0.756 0.756
Cl 0.500 0.500 0.500

***

2.
First-principles (GGA-PBE) data for ScFe2Cl after structural relaxation, as listed in Alexandria via LeMat-Bulk.

Values from the calculation:
Its spin magnetization is 1.387 μB/atom. The raw total energy comes out at -24.275 eV for the cell shown. Its energy above the most stable polymorph in this dataset is 1.90 eV/f.u.

Lattice parameters (Å, degrees): 5.170 5.170 3.020 90.00 90.00 122.79
Fractional coordinates of all 4 atoms:
Sc 0.000 0.000 0.000
Fe 0.000 0.500 0.500
Fe 0.500 0.000 0.500
Cl 0.500 0.500 0.000

***

3.
First-principles (GGA-PBE) data for ScFe3Cl after structural relaxation, as listed in Alexandria via LeMat-Bulk.

Values from the calculation:
Its spin magnetization is 0.838 μB/atom. The raw total energy comes out at -31.312 eV for the cell shown. Its energy above the most stable polymorph in this dataset is 0.00 eV/f.u.

Lattice parameters (Å, degrees): 4.164 4.164 4.164 90.00 90.00 90.00
Fractional coordinates of all 5 atoms:
Sc 0.000 0.000 0.000
Fe 0.000 0.500 0.500
Fe 0.500 0.000 0.500
Fe 0.500 0.500 0.000
Cl 0.500 0.500 0.500

***

4.
First-principles (GGA-PBE) data for ScFe2Cl after structural relaxation, as listed in Alexandria via LeMat-Bulk.

Values from the calculation:
Its spin magnetization is 0.889 μB/atom. The raw total energy comes out at -22.651 eV for the cell shown. Its energy above the most stable polymorph in this dataset is 3.52 eV/f.u.

Lattice parameters (Å, degrees): 4.417 4.417 4.417 60.00 60.00 60.00
Fractional coordinates of all 4 atoms:
Sc 0.000 0.000 0.000
Fe 0.250 0.250 0.250
Fe 0.750 0.750 0.750
Cl 0.500 0.500 0.500

***

| no. | E_form (uncorrected) (meV/atom) | Fermi-level density of states (states/eV/cell) |
| --- | --- | --- |
| 1 | 202.2 | 4.053 |
| 2 | 207.1 | 4.399 |
| 3 | 450.8 | 6.117 |
| 4 | 613.2 | 6.147 |